Compound: Tb2Si6Pd21
Source: Alexandria
Functional: PBE
Structure: relaxed

size of the total moment = 0.000 μB per cell
uncorrected formation energy = -20.8 eV per formula unit

Cell: 8.6624 8.6624 8.6624 Å, 60.00 60.00 60.00°
Closest atoms and distances in Å follow each position.
Positions (direct):
1 Tb 0.7500 0.7500 0.7500  4 Pd 2.84
2 Tb 0.2500 0.2500 0.2500  4 Pd 2.84
3 Si 0.2653 0.2653 0.7347  8 Pd 2.40-2.48
4 Si 0.2653 0.7347 0.2653  8 Pd 2.40-2.48
5 Si 0.2653 0.7347 0.7347  8 Pd 2.40-2.48
6 Si 0.7347 0.7347 0.2653  8 Pd 2.40-2.48
7 Si 0.7347 0.2653 0.7347  8 Pd 2.40-2.48
8 Si 0.7347 0.2653 0.2653  8 Pd 2.40-2.48
9 Pd 0.0000 0.0000 0.0000  12 Pd 2.98, 6 Si 3.25
10 Pd 0.1515 0.6162 0.6162  3 Si 2.48
11 Pd 0.6162 0.6162 0.6162  3 Si 2.48
12 Pd 0.6162 0.6162 0.1515  3 Si 2.48
13 Pd 0.6162 0.1515 0.6162  3 Si 2.48
14 Pd 0.8485 0.3838 0.3838  3 Si 2.48
15 Pd 0.3838 0.3838 0.3838  3 Si 2.48
16 Pd 0.3838 0.3838 0.8485  3 Si 2.48
17 Pd 0.3838 0.8485 0.3838  3 Si 2.48
18 Pd 0.3443 0.6557 0.0000  2 Si 2.40
19 Pd 0.3443 0.0000 0.6557  2 Si 2.40
20 Pd 0.3443 0.0000 0.0000  2 Si 2.40
21 Pd 0.0000 0.0000 0.6557  2 Si 2.40
22 Pd 0.0000 0.6557 0.0000  2 Si 2.40
23 Pd 0.6557 0.0000 0.0000  2 Si 2.40
24 Pd 0.0000 0.0000 0.3443  2 Si 2.40
25 Pd 0.6557 0.0000 0.3443  2 Si 2.40
26 Pd 0.0000 0.6557 0.3443  2 Si 2.40
27 Pd 0.6557 0.3443 0.0000  2 Si 2.40
28 Pd 0.0000 0.3443 0.0000  2 Si 2.40
29 Pd 0.0000 0.3443 0.6557  2 Si 2.40